Density functional theory data (PBE-GGA) for a relaxed Tl3Cd3In crystal.

Computed properties:
- Polymorph energy (0 for the lowest one): 0.339 eV per atom
- Final energy: -1.398 eV/atom
- DFT formation energy: 0.399 eV/atom

The structure in CIF format:
```
data_Tl3Cd3In
_cell_length_a 8.2111
_cell_length_b 8.2111
_cell_length_c 8.2111
_cell_angle_alpha 90.00
_cell_angle_beta 90.00
_cell_angle_gamma 90.00
_symmetry_space_group_name_H-M 'P m -3 n'
_symmetry_Int_Tables_number 223
_symmetry_space_group_name_Hall '-P 4n 2 3'
loop_
_atom_site_label
_atom_site_type_symbol
_atom_site_fract_x
_atom_site_fract_y
_atom_site_fract_z
Tl1 Tl 0.0000 0.2500 0.5000
Cd1 Cd 0.0000 0.5000 0.2500
In1 In 0.0000 0.0000 0.0000
```


Density functional theory data (PBE-GGA) for a relaxed Tl12Cd3In5 crystal.

Computed properties:
- Final energy: -2.037 eV/atom
- DFT formation energy: 0.204 eV/atom

The structure in CIF format:
```
data_Tl12Cd3In5
_cell_length_a 17.7217
_cell_length_b 17.7217
_cell_length_c 17.7217
_cell_angle_alpha 90.00
_cell_angle_beta 90.00
_cell_angle_gamma 90.00
_symmetry_space_group_name_H-M 'I a -3 d'
_symmetry_Int_Tables_number 230
_symmetry_space_group_name_Hall '-I 4bd 2c 3'
loop_
_atom_site_label
_atom_site_type_symbol
_atom_site_fract_x
_atom_site_fract_y
_atom_site_fract_z
Tl1 Tl 0.0181 0.0821 0.6502
Cd1 Cd 0.0000 0.2500 0.1250
In1 In 0.0000 0.0000 0.0000
In2 In 0.0000 0.2500 0.3750
```


Density functional theory data (PBE-GGA) for a relaxed Tl3Cd2In5 crystal.

Computed properties:
- Final energy: -2.226 eV/atom
- DFT formation energy: 0.036 eV/atom

The structure in CIF format:
```
data_Tl3Cd2In5
_cell_length_a 8.5186
_cell_length_b 8.5790
_cell_length_c 9.2805
_cell_angle_alpha 81.18
_cell_angle_beta 72.09
_cell_angle_gamma 60.76
_symmetry_space_group_name_H-M 'P -1'
_symmetry_Int_Tables_number 2
_symmetry_space_group_name_Hall '-P 1'
loop_
_atom_site_label
_atom_site_type_symbol
_atom_site_fract_x
_atom_site_fract_y
_atom_site_fract_z
Tl1 Tl 0.1165 0.2684 0.4706
Tl2 Tl 0.3150 0.4724 0.6812
Tl3 Tl 0.3453 0.7428 0.9854
Cd1 Cd 0.0864 0.2100 0.8384
Cd2 Cd 0.2062 0.8510 0.4307
In1 In 0.0020 0.8949 0.8006
In2 In 0.1756 0.3729 0.0755
In3 In 0.3080 0.5107 0.2920
In4 In 0.4178 0.8792 0.6178
In5 In 0.4728 0.9543 0.1732
```


Density functional theory data (PBE-GGA) for a relaxed Tl2CdIn crystal.

Computed properties:
- Polymorph energy (0 for the lowest one): 0.027 eV per atom
- Final energy: -2.050 eV/atom
- DFT formation energy: 0.047 eV/atom

The structure in CIF format:
```
data_Tl2CdIn
_cell_length_a 4.9594
_cell_length_b 4.9594
_cell_length_c 9.1449
_cell_angle_alpha 90.00
_cell_angle_beta 90.00
_cell_angle_gamma 90.00
_symmetry_space_group_name_H-M 'I -4 m 2'
_symmetry_Int_Tables_number 119
_symmetry_space_group_name_Hall 'I -4 -2'
loop_
_atom_site_label
_atom_site_type_symbol
_atom_site_fract_x
_atom_site_fract_y
_atom_site_fract_z
Tl1 Tl 0.0000 0.0000 0.0000
Tl2 Tl 0.0000 0.5000 0.2500
Cd1 Cd 0.0000 0.5000 0.7500
In1 In 0.0000 0.0000 0.5000
```